Below is an optimized crystal structure of TbZrRh, with properties calculated at the PBE level.

POSCAR file:
```
TbZrRh
1.0
4.623 0.000 0.000
0.000 4.618 0.000
-0.028 0.000 6.627
Tb Zr Rh
2 2 2
direct
0.250 0.250 0.129
0.750 0.750 0.871
0.250 0.750 0.500
0.750 0.250 0.500
0.253 0.250 0.710
0.747 0.750 0.290
```

Results
crystal system = monoclinic
offset from the most stable computed form = 6 meV/atom
space group = P2_1/m (11)
calculated volume = 23.577 A^3/atom
M_tot = 0.00 μB/cell
ΔE_f = -0.568 eV/atom